Here is an optimized crystal structure of Li3TiP2O8 from the Alexandria database. Energies are from PBEsol.

Geometry as POSCAR:
```
Li3TiP2O8
1.0
4.105 -2.718 0.000
4.105 2.718 0.000
-0.052 0.000 6.124
Li Ti P O
3 1 2 8
Cartesian
0.000 0.000 0.000 Li
2.670 0.000 4.738 Li
5.488 0.000 1.386 Li
-0.026 0.000 3.062 Ti
2.859 0.000 1.609 P
5.299 0.000 4.515 P
3.823 1.242 1.642 O
1.999 0.000 0.370 O
1.981 0.000 2.890 O
4.335 1.242 4.482 O
3.823 -1.242 1.642 O
6.177 0.000 3.234 O
6.160 0.000 5.754 O
4.335 -1.242 4.482 O
```

Summary:
* space-group type: C2/m (12)
* ΔE_f (raw): -2443 meV per atom
* M_tot: 1.000 Bohr magnetons per cell

=====

Here is an optimized crystal structure of LiTiP2O7 from the Alexandria database. Energies are from PBEsol.

Geometry as POSCAR:
```
LiTiP2O7
1.0
4.905 0.000 0.000
0.000 8.198 0.000
-2.239 0.000 6.648
Li Ti P O
2 2 4 14
Cartesian
0.470 0.000 1.079 Li
2.196 4.099 5.569 Li
0.514 2.916 1.515 Ti
2.152 7.015 5.132 Ti
-0.228 0.556 3.871 P
1.922 5.553 0.191 P
0.744 1.454 6.457 P
2.894 4.655 2.777 P
-0.596 4.299 2.352 O
-0.187 1.269 2.523 O
-1.259 6.724 6.563 O
1.197 4.210 0.075 O
1.700 1.476 0.641 O
0.324 1.659 4.919 O
0.691 7.537 3.874 O
1.975 3.438 2.773 O
2.342 5.758 1.729 O
0.965 5.576 6.006 O
1.469 0.111 6.572 O
3.925 2.625 0.084 O
2.853 5.368 4.125 O
3.262 0.200 4.296 O
```

Summary:
* space-group type: P2_1 (4)
* ΔE_f (raw): -2432 meV per atom
* M_tot: 2.000 Bohr magnetons per cell

=====

Here is an optimized crystal structure of LiTiPO2 from the Alexandria database. Energies are from PBEsol.

Geometry as POSCAR:
```
LiTiPO2
1.0
3.606 0.000 0.000
0.000 3.606 0.000
0.000 0.000 4.003
Li Ti P O
1 1 1 2
Cartesian
0.000 0.000 0.000 Li
1.803 1.803 2.001 Ti
0.000 0.000 2.001 P
0.000 1.803 0.000 O
1.803 0.000 0.000 O
```

Summary:
* space-group type: P4/mmm (123)
* ΔE_f (raw): -379 meV per atom
* M_tot: 0.000 Bohr magnetons per cell

=====

Question: What is the ΔE_f (raw) in the third record?
Answer: -379 meV per atom

=====

Question: What is the M_tot in the third record?
Answer: 0.000 Bohr magnetons per cell